The following is a DFT calculation (GGA-PBE) of HoZn6Au12 after structural relaxation.

Summary:
Calculated volume = 358.73 Å³ per cell
Total moment = 0.0 μB/cell
DFT formation energy = -0.188 eV/atom

POSCAR file:
```
HoZn6Au12
1.0
6.001 3.465 2.875
-6.001 3.465 2.875
0.000 -6.930 2.875
Ho Zn Au
1 6 12
direct
0.000 0.000 0.000
0.290 0.290 0.693
0.290 0.693 0.290
0.307 0.710 0.710
0.693 0.290 0.290
0.710 0.307 0.710
0.710 0.710 0.307
0.118 0.364 0.364
0.119 0.500 0.881
0.119 0.881 0.500
0.364 0.118 0.364
0.364 0.364 0.118
0.500 0.119 0.881
0.500 0.881 0.119
0.636 0.636 0.882
0.636 0.882 0.636
0.881 0.119 0.500
0.881 0.500 0.119
0.882 0.636 0.636
```